# 1
The following is a PBEsol calculation of a relaxed structure of ScTa2Au, from Alexandria via LeMat-Bulk.

Computed properties:
ΔH_f (0 K)	-0.0074	eV per atom
symmetry	I-4m2 (119)

Cell: 4.113 4.113 5.139 Å, 113.59 113.59 90.00°
Fractional positions:
Sc (0.250, 0.750, 0.500)
Au (0.500, 0.500, 0.000)
Ta (0.000, 0.000, 0.000)
Ta (0.750, 0.250, 0.500)

---

# 2
The following is a PBEsol calculation of a relaxed structure of NiBi2H, from Alexandria via LeMat-Bulk.

Computed properties:
symmetry	Fm-3m (225)
VASP energy	-4.18	eV/atom

Cell: 4.608 4.608 4.608 Å, 60.00 60.00 60.00°
Fractional positions:
Bi (0.250, 0.250, 0.250)
H (0.000, 0.000, 0.000)
Bi (0.750, 0.750, 0.750)
Ni (0.500, 0.500, 0.500)

---

# 3
The following is a PBEsol calculation of a relaxed structure of SbWCl2, from Alexandria via LeMat-Bulk.

Computed properties:
symmetry	Pm (6)
formation energy (no corrections)	0.13	eV per atom

Cell: 3.000 4.433 6.566 Å, 90.00 96.67 90.00°
Fractional positions:
Cl (0.766, 0.500, 0.139)
Sb (0.336, 0.000, 0.548)
Cl (0.196, 0.000, 0.969)
W (0.202, 0.500, 0.843)

---

# 4
The following is a PBEsol calculation of a relaxed structure of KZr2Te, from Alexandria via LeMat-Bulk.

Computed properties:
symmetry	P4mm (99)
formation energy (no corrections)	-0.20	eV per atom

Cell: 3.638 3.638 8.751 Å, 90.00 90.00 90.00°
Fractional positions:
Zr (0.000, 0.000, 0.983)
Te (0.500, 0.500, 0.818)
K (0.000, 0.000, 0.526)
Zr (0.500, 0.500, 0.173)

---

Number 1: DOS at the Fermi energy 3.02 states/eV/cell. Number 2: DOS at the Fermi energy 1.85 states/eV/cell. Number 3: DOS at the Fermi energy 1.79 states/eV/cell. Number 4: DOS at the Fermi energy 4.67 states/eV/cell.